Compound: RbNa2Ti
Source: Alexandria via LeMat-Bulk
Functional: GGA-PBE
Structure: optimized geometry

Properties
N(E_F): 23.64 states/eV per cell
Energy: -0.1440 Ry/atom
SG: I-42d
Mass density: 1.78 Mg/m³
Relative energy among the computed polymorphs: 101.9 meV per atom
DFT formation energy: 0.9158 eV per atom

Cell lengths 7.6630, 7.6630, 7.6630 Å; angles 103.82, 103.82, 121.47 degrees
Positions (direct):
Rb 0.0000 0.0000 0.0000
Rb 0.7500 0.2500 0.5000
Na 0.1594 0.6250 0.0344
Na 0.3750 0.4094 0.5344
Na 0.5906 0.1250 0.9656
Na 0.8750 0.8406 0.4656
Ti 0.2500 0.7500 0.5000
Ti 0.5000 0.5000 0.0000

Compound: ThBeFe2Si2
Source: Alexandria via LeMat-Bulk
Functional: GGA-PBE
Structure: optimized geometry

Properties
N(E_F): 2.79 states/eV per cell
Energy relative to the elements, uncorrected: -419 meV/atom
Energy: -0.5075 Ry/atom
SG: P4/mmm
Mass density: 7.86 Mg/m³

Cell lengths 4.0217, 4.0217, 5.3399 Å; angles 90.00, 90.00, 90.00 degrees
Positions (direct):
Th 0.0000 0.0000 0.0000
Be 0.0000 0.0000 0.5000
Fe 0.0000 0.5000 0.5000
Fe 0.5000 0.0000 0.5000
Si 0.5000 0.5000 0.2510
Si 0.5000 0.5000 0.7490

Compound: Ti2SiAgW
Source: Alexandria via LeMat-Bulk
Functional: GGA-PBE
Structure: optimized geometry

Properties
N(E_F): 9.45 states/eV per cell
Energy relative to the elements, uncorrected: 1299 meV/atom
Energy: -0.4487 Ry/atom
SG: P4/mmm
Mass density: 6.15 Mg/m³

Cell lengths 4.6807, 4.6807, 5.1192 Å; angles 90.00, 90.00, 90.00 degrees
Positions (direct):
Ti 0.0000 0.5000 0.0000
Ti 0.5000 0.0000 0.0000
Si 0.0000 0.0000 0.5000
Ag 0.5000 0.5000 0.5000
W 0.5000 0.5000 0.0000

Q: What is the N(E_F) in the second record?
A: 2.79 states/eV per cell